Entry 1:
{"formula": "CsNbGa3", "functional": "meta-GGA SCAN", "state": "PBEsol geometry", "crystal_system": "cubic", "formation_enthalpy_0k_mev_per_atom": 2077, "sg": "No. 221", "lattice_angstrom": [[5.479, 0.000, 0.000], [0.000, 5.479, 0.000], [0.000, 0.000, 5.479]], "species": ["Cs", "Nb", "Ga", "Ga", "Ga"], "frac_coords": [[0.000, 0.000, 0.000], [0.500, 0.500, 0.500], [0.000, 0.000, 0.500], [0.000, 0.500, 0.000], [0.500, 0.000, 0.000]]}

---

Entry 2:
{"formula": "Ni2HgS2", "functional": "meta-GGA SCAN", "state": "PBEsol geometry", "crystal_system": "tetragonal", "final_energy_ev_per_cell": -241.72, "sg": "No. 139", "lattice_angstrom": [[3.634, 0.000, 0.000], [0.000, 3.634, 0.000], [0.000, 0.000, 13.613]], "species": ["Ni", "Ni", "Ni", "Ni", "Hg", "Hg", "S", "S", "S", "S"], "frac_coords": [[0.000, 0.500, 0.250], [0.000, 0.500, 0.750], [0.500, 0.000, 0.250], [0.500, 0.000, 0.750], [0.000, 0.000, 0.000], [0.500, 0.500, 0.500], [0.000, 0.000, 0.340], [0.000, 0.000, 0.660], [0.500, 0.500, 0.160], [0.500, 0.500, 0.840]]}

---

Entry 3:
{"formula": "LaMo6S8", "functional": "meta-GGA SCAN", "state": "PBEsol geometry", "crystal_system": "trigonal", "final_energy_ev_per_cell": -345.51, "sg": "No. 148", "lattice_angstrom": [[4.499, 2.598, 3.824], [-4.499, 2.598, 3.824], [0.000, -5.195, 3.824]], "species": ["La", "Mo", "Mo", "Mo", "Mo", "Mo", "Mo", "S", "S", "S", "S", "S", "S", "S", "S"], "frac_coords": [[0.000, 0.000, 0.000], [0.224, 0.419, 0.564], [0.419, 0.564, 0.224], [0.436, 0.776, 0.581], [0.564, 0.224, 0.419], [0.581, 0.436, 0.776], [0.776, 0.581, 0.436], [0.126, 0.751, 0.378], [0.244, 0.244, 0.244], [0.249, 0.622, 0.874], [0.378, 0.126, 0.751], [0.622, 0.874, 0.249], [0.751, 0.378, 0.126], [0.756, 0.756, 0.756], [0.874, 0.249, 0.622]]}